(1)
Here is crystalline CdPdSCl2 at its relaxed geometry from Alexandria via LeMat-Bulk. Energies are from PBE.

Cell lengths 4.789, 4.789, 4.895 Å; angles 90.00, 90.00, 90.00 degrees
Space group P4/mmm (No. 123)
Symmetry-distinct sites (fractional):
Cd 0.000 0.000 0.000 x1
Pd 0.500 0.500 0.500 x1
S 0.500 0.500 0.000 x1
Cl 0.000 0.500 0.500 x2

Calculated values
DOS(E_F): 0.603 states/eV/atom
Magnetization: 0.00 μB per cell
Theoretical density: 4.8 g cm⁻³
Relative energy among the computed polymorphs: 0 meV per atom
Energy relative to the elements, uncorrected: -0.126 eV/atom
Final energy: -2.9113 eV/atom

(2)
Here is crystalline Ce2PaRu2 at its relaxed geometry from Alexandria via LeMat-Bulk. Energies are from PBE.

Cell lengths 10.075, 5.928, 7.777 Å; angles 90.00, 99.47, 90.00 degrees
Space group C2/c (No. 15)
Symmetry-distinct sites (fractional):
Ce 0.152 0.133 0.155 x8
Pa 0.000 0.337 0.750 x4
Ru 0.124 0.365 0.500 x8

Calculated values
DOS(E_F): 2.027 states/eV/atom
Magnetization: 2.40 μB per cell
Theoretical density: 10.3 g cm⁻³
Relative energy among the computed polymorphs: 0 meV per atom
Energy relative to the elements: -0.359 eV/atom
Final energy: -8.3425 eV/atom

(3)
Here is crystalline NdHo3Ir at its relaxed geometry from Alexandria via LeMat-Bulk. Energies are from PBE.

Cell lengths 5.428, 5.428, 5.428 Å; angles 90.00, 90.00, 90.00 degrees
Space group Pm-3m (No. 221)
Symmetry-distinct sites (fractional):
Nd 0.000 0.000 0.000 x1
Ho 0.000 0.500 0.500 x3
Ir 0.500 0.500 0.500 x1

Calculated values
DOS(E_F): 1.447 states/eV/atom
Magnetization: 0.00 μB per cell
Theoretical density: 8.6 g cm⁻³
Energy relative to the elements: -0.306 eV/atom
Final energy: -5.7782 eV/atom

(4)
Here is crystalline SrCd2Sn2Au at its relaxed geometry from Alexandria via LeMat-Bulk. Energies are from PBE.

Cell lengths 7.378, 9.275, 5.144 Å; angles 90.00, 90.00, 90.00 degrees
Space group Pnnm (No. 58)
Symmetry-distinct sites (fractional):
Sr 0.000 0.000 0.000 x2
Cd 0.198 0.189 0.500 x4
Sn 0.210 0.815 0.500 x4
Au 0.000 0.500 0.000 x2

Calculated values
DOS(E_F): 0.734 states/eV/atom
Magnetization: 0.00 μB per cell
Theoretical density: 7.0 g cm⁻³
Energy relative to the elements: -0.208 eV/atom
Final energy: -2.6735 eV/atom

(5)
Here is crystalline Ba2BSe4 at its relaxed geometry from Alexandria via LeMat-Bulk. Energies are from PBE.

Cell lengths 7.185, 6.169, 9.783 Å; angles 90.00, 103.52, 90.00 degrees
Space group P2_1/m (No. 11)
Symmetry-distinct sites (fractional):
Ba 0.219 0.250 0.447 x2
Ba 0.279 0.250 0.960 x2
B 0.273 0.750 0.210 x2
Se 0.075 0.750 0.334 x2
Se 0.172 0.750 0.997 x2
Se 0.492 0.508 0.272 x4

Calculated values
DOS(E_F): 0.241 states/eV/atom
Magnetization: 0.00 μB per cell
Theoretical density: 4.7 g cm⁻³
Energy relative to the elements, uncorrected: -1.187 eV/atom
Final energy: -4.6813 eV/atom

(6)
Here is crystalline Er2Al2Ni5Ge at its relaxed geometry from Alexandria via LeMat-Bulk. Energies are from PBE.

Cell lengths 10.013, 10.013, 3.015 Å; angles 90.00, 90.00, 90.00 degrees
Space group P4/mbm (No. 127)
Symmetry-distinct sites (fractional):
Er 0.173 0.327 0.000 x4
Al 0.128 0.628 0.000 x4
Ni 0.000 0.500 0.500 x2
Ni 0.052 0.810 0.500 x8
Ge 0.000 0.000 0.000 x2

Calculated values
DOS(E_F): 0.796 states/eV/atom
Magnetization: 0.00 μB per cell
Theoretical density: 8.3 g cm⁻³
Energy relative to the elements: -0.386 eV/atom
Final energy: -5.3998 eV/atom

(7)
Here is crystalline LaCo3PC at its relaxed geometry from Alexandria via LeMat-Bulk. Energies are from PBE.

Cell lengths 5.251, 11.042, 5.653 Å; angles 90.00, 90.00, 90.00 degrees
Space group Cmcm (No. 63)
Symmetry-distinct sites (fractional):
La 0.000 0.239 0.250 x4
Co 0.000 0.312 0.750 x4
Co 0.236 0.500 0.000 x8
P 0.000 0.111 0.750 x4
C 0.000 0.478 0.750 x4

Calculated values
DOS(E_F): 0.644 states/eV/atom
Magnetization: 0.01 μB per cell
Theoretical density: 7.3 g cm⁻³
Energy relative to the elements: -0.419 eV/atom
Final energy: -7.2322 eV/atom

(8)
Here is crystalline RbBaNb at its relaxed geometry from Alexandria via LeMat-Bulk. Energies are from PBE.

Cell lengths 5.708, 5.708, 9.874 Å; angles 90.00, 90.00, 90.00 degrees
Space group P4/nmm (No. 129, origin choice 2)
Symmetry-distinct sites (fractional):
Rb 0.250 0.250 0.132 x2
Ba 0.250 0.750 0.500 x2
Nb 0.250 0.250 0.721 x2

Calculated values
DOS(E_F): 1.332 states/eV/atom
Magnetization: 10.00 μB per cell
Theoretical density: 3.3 g cm⁻³
Relative energy among the computed polymorphs: 867 meV per atom
Energy relative to the elements: 1.322 eV/atom
Final energy: -2.9982 eV/atom

(9)
Here is crystalline K2YMg at its relaxed geometry from Alexandria via LeMat-Bulk. Energies are from PBE.

Cell lengths 4.961, 4.961, 6.597 Å; angles 90.00, 90.00, 90.00 degrees
Space group P4/mmm (No. 123)
Symmetry-distinct sites (fractional):
K 0.000 0.500 0.000 x2
Y 0.000 0.000 0.500 x1
Mg 0.500 0.500 0.500 x1

Calculated values
DOS(E_F): 1.146 states/eV/atom
Magnetization: 1.34 μB per cell
Theoretical density: 2.0 g cm⁻³
Energy relative to the elements: 0.454 eV/atom
Final energy: -2.1090 eV/atom

(10)
Here is crystalline La2Zr at its relaxed geometry from Alexandria via LeMat-Bulk. Energies are from PBE.

Cell lengths 3.4850, 3.4850, 17.6020 Å; angles 90.00, 90.00, 120.00 degrees
Space group P-6m2 (No. 187)
Symmetry-distinct sites (fractional):
La 0.0000 0.0000 0.0000 x1
La 0.0000 0.0000 0.3153 x2
La 0.6667 0.3333 0.5000 x1
Zr 0.6667 0.3333 0.1596 x2

Calculated values
DOS(E_F): 1.599 states/eV/atom
Magnetization: 0.00 μB per cell
Theoretical density: 6.6 g cm⁻³
Relative energy among the computed polymorphs: 53 meV per atom
Energy relative to the elements: 0.176 eV/atom
Final energy: -5.9586 eV/atom

(11)
Here is crystalline CoGe6Ir at its relaxed geometry from Alexandria via LeMat-Bulk. Energies are from PBE.

Cell lengths 4.157, 6.285, 6.332 Å; angles 69.32, 71.56, 71.09 degrees
Space group P-1 (No. 2)
Symmetry-distinct sites (fractional):
Co 0.000 0.000 0.000 x1
Ge 0.112 0.587 0.226 x2
Ge 0.152 0.760 0.754 x2
Ge 0.443 0.931 0.247 x2
Ir 0.500 0.500 0.500 x1

Calculated values
DOS(E_F): 0.400 states/eV/atom
Magnetization: 0.00 μB per cell
Theoretical density: 8.0 g cm⁻³
Energy relative to the elements: -0.030 eV/atom
Final energy: -5.4888 eV/atom

(12)
Here is crystalline BaGa2IO8 at its relaxed geometry from Alexandria via LeMat-Bulk. Energies are from PBE.

Cell lengths 4.600, 4.711, 7.872 Å; angles 97.41, 90.62, 90.13 degrees
Space group P-1 (No. 2)
Symmetry-distinct sites (fractional):
Ba 0.000 0.000 0.000 x1
Ga 0.484 0.528 0.685 x2
I 0.000 0.000 0.500 x1
O 0.192 0.161 0.327 x2
O 0.192 0.224 0.689 x2
O 0.298 0.700 0.497 x2
O 0.491 0.672 0.912 x2

Calculated values
Magnetization: 1.05 μB per cell
Theoretical density: 5.2 g cm⁻³
Energy relative to the elements, uncorrected: -1.210 eV/atom
Final energy: -5.3093 eV/atom

(13)
Here is crystalline LiLaTe2 at its relaxed geometry from Alexandria via LeMat-Bulk. Energies are from PBE.

Cell lengths 15.017, 4.366, 7.782 Å; angles 90.00, 104.32, 90.00 degrees
Space group Cm (No. 8)
Symmetry-distinct sites (fractional):
Li 0.000 0.000 0.000 x2
Li 0.205 0.500 0.344 x2
La 0.247 0.000 0.870 x2
La 0.462 0.000 0.487 x2
Te 0.093 0.500 0.903 x2
Te 0.117 0.000 0.456 x2
Te 0.353 0.500 0.676 x2
Te 0.355 0.500 0.177 x2

Calculated values
DOS(E_F): 0.000 states/eV/atom
Magnetization: 0.00 μB per cell
Theoretical density: 5.4 g cm⁻³
Energy relative to the elements, uncorrected: -1.369 eV/atom
Final energy: -4.6503 eV/atom

(14)
Here is crystalline TaTi2H4 at its relaxed geometry from Alexandria via LeMat-Bulk. Energies are from PBE.

Cell lengths 3.474, 3.474, 10.641 Å; angles 90.00, 90.00, 90.00 degrees
Space group I4/mmm (No. 139)
Symmetry-distinct sites (fractional):
Ta 0.000 0.000 0.000 x2
Ti 0.000 0.000 0.341 x4
H 0.000 0.000 0.173 x4
H 0.000 0.500 0.000 x4

Calculated values
DOS(E_F): 0.291 states/eV/atom
Magnetization: 0.00 μB per cell
Theoretical density: 7.3 g cm⁻³
Relative energy among the computed polymorphs: 269 meV per atom
Final energy: -5.9152 eV/atom

(15)
Here is crystalline NbCoOs at its relaxed geometry from Alexandria via LeMat-Bulk. Energies are from PBE.

Cell lengths 3.197, 3.197, 8.660 Å; angles 90.00, 90.00, 90.00 degrees
Space group I4mm (No. 107)
Symmetry-distinct sites (fractional):
Nb 0.000 0.000 0.000 x2
Co 0.000 0.000 0.338 x2
Os 0.000 0.000 0.667 x2

Calculated values
DOS(E_F): 0.930 states/eV/atom
Magnetization: 3.74 μB per cell
Theoretical density: 12.8 g cm⁻³
Relative energy among the computed polymorphs: 265 meV per atom
Energy relative to the elements: 0.056 eV/atom
Final energy: -9.4124 eV/atom

(16)
Here is crystalline Hf2Be16Cu at its relaxed geometry from Alexandria via LeMat-Bulk. Energies are from PBE.

Cell lengths 7.5329, 7.5329, 10.9843 Å; angles 90.00, 90.00, 120.00 degrees
Space group R3m (No. 160, hexagonal axes)
Symmetry-distinct sites (fractional):
Hf 0.0000 0.0000 0.0000 x3
Hf 0.0000 0.0000 0.3190 x3
Be 0.0000 0.0000 0.5554 x3
Be 0.0001 0.2888 0.6586 x18
Be 0.0013 0.5007 0.8160 x9
Be 0.0029 0.5014 0.1581 x9
Be 0.1684 0.3367 0.8343 x9
Cu 0.0000 0.0000 0.7549 x3

Calculated values
DOS(E_F): 0.243 states/eV/atom
Magnetization: 0.00 μB per cell
Theoretical density: 5.2 g cm⁻³
Energy relative to the elements: -0.237 eV/atom
Final energy: -4.6382 eV/atom

(17)
Here is crystalline MgTaAsBr2 at its relaxed geometry from Alexandria via LeMat-Bulk. Energies are from PBE.

Cell lengths 4.808, 4.808, 5.676 Å; angles 90.00, 90.00, 90.00 degrees
Space group P4/mmm (No. 123)
Symmetry-distinct sites (fractional):
Mg 0.000 0.000 0.000 x1
Ta 0.500 0.500 0.500 x1
As 0.000 0.000 0.500 x1
Br 0.000 0.500 0.000 x2

Calculated values
DOS(E_F): 1.074 states/eV/atom
Magnetization: 1.99 μB per cell
Theoretical density: 5.6 g cm⁻³
Relative energy among the computed polymorphs: 626 meV per atom
Energy relative to the elements, uncorrected: 0.650 eV/atom
Final energy: -3.6383 eV/atom

(18)
Here is crystalline La4GaPt3 at its relaxed geometry from Alexandria via LeMat-Bulk. Energies are from PBE.

Cell lengths 4.024, 4.548, 11.419 Å; angles 90.00, 90.00, 90.00 degrees
Space group Pmm2 (No. 25)
Symmetry-distinct sites (fractional):
La 0.000 0.000 0.000 x1
La 0.000 0.500 0.263 x1
La 0.500 0.000 0.485 x1
La 0.500 0.500 0.769 x1
Ga 0.000 0.000 0.701 x1
Pt 0.000 0.500 0.551 x1
Pt 0.500 0.000 0.220 x1
Pt 0.500 0.500 0.038 x1

Calculated values
DOS(E_F): 0.794 states/eV/atom
Magnetization: 0.00 μB per cell
Theoretical density: 9.6 g cm⁻³
Energy relative to the elements: -1.031 eV/atom
Final energy: -6.1383 eV/atom

(19)
Here is crystalline CuHgMo2 at its relaxed geometry from Alexandria via LeMat-Bulk. Energies are from PBE.

Cell lengths 2.760, 4.323, 5.549 Å; angles 90.00, 97.36, 90.00 degrees
Space group Pm (No. 6)
Symmetry-distinct sites (fractional):
Cu 0.000 0.000 0.000 x1
Hg 0.089 0.500 0.265 x1
Mo 0.437 0.500 0.778 x1
Mo 0.651 0.000 0.543 x1

Calculated values
DOS(E_F): 0.623 states/eV/atom
Magnetization: 0.00 μB per cell
Theoretical density: 11.5 g cm⁻³
Energy relative to the elements: 0.390 eV/atom
Final energy: -6.1249 eV/atom

(20)
Here is crystalline BaZnH2 at its relaxed geometry from Alexandria via LeMat-Bulk. Energies are from PBE.

Cell lengths 6.585, 6.585, 6.585 Å; angles 90.00, 90.00, 90.00 degrees
Space group Fm-3m (No. 225)
Symmetry-distinct sites (fractional):
Ba 0.000 0.000 0.000 x4
Zn 0.000 0.000 0.500 x4
H 0.250 0.250 0.250 x8

Calculated values
DOS(E_F): 0.196 states/eV/atom
Magnetization: 0.00 μB per cell
Theoretical density: 4.8 g cm⁻³
Relative energy among the computed polymorphs: 0 meV per atom
Final energy: -2.6051 eV/atom